Compound: YHfMnV2
Source: Alexandria via LeMat-Bulk
Functional: PBE
Structure: relaxed

Cell: 4.5885 4.5885 4.7420 Å, 90.00 90.00 90.00°
Space group P4/mmm (No. 123)
Symmetry-distinct sites (fractional):
Y 0.0000 0.0000 0.0000 (multiplicity 1)
Hf 0.5000 0.5000 0.0000 (multiplicity 1)
Mn 0.5000 0.5000 0.5000 (multiplicity 1)
V 0.0000 0.5000 0.5000 (multiplicity 2)

Values from the calculation:
Total DFT energy (no corrections) in eV per atom: -8.3164
DFT formation energy in meV per atom: 448

---

Compound: Y2HfMnV
Source: Alexandria via LeMat-Bulk
Functional: PBE
Structure: relaxed

Cell: 5.1324 5.1324 4.7261 Å, 90.00 90.00 90.00°
Space group P4/mmm (No. 123)
Symmetry-distinct sites (fractional):
Y 0.0000 0.5000 0.0000 (multiplicity 2)
Hf 0.0000 0.0000 0.5000 (multiplicity 1)
Mn 0.0000 0.0000 0.0000 (multiplicity 1)
V 0.5000 0.5000 0.5000 (multiplicity 1)

Values from the calculation:
Total DFT energy (no corrections) in eV per atom: -7.3787
DFT formation energy in meV per atom: 855

---

Compound: HfMn2VZn
Source: Alexandria via LeMat-Bulk
Functional: PBE
Structure: relaxed

Cell: 4.2911 4.2911 4.7397 Å, 90.00 90.00 90.00°
Space group P4/mmm (No. 123)
Symmetry-distinct sites (fractional):
Hf 0.0000 0.0000 0.0000 (multiplicity 1)
Mn 0.0000 0.5000 0.5000 (multiplicity 2)
V 0.5000 0.5000 0.0000 (multiplicity 1)
Zn 0.0000 0.0000 0.5000 (multiplicity 1)

Values from the calculation:
Total DFT energy (no corrections) in eV per atom: -6.2172
DFT formation energy in meV per atom: 1520

---

Compound: Hf2MnVZn
Source: Alexandria via LeMat-Bulk
Functional: PBE
Structure: relaxed

Cell: 4.7147 4.7147 4.8442 Å, 90.00 90.00 90.00°
Space group P4/mmm (No. 123)
Symmetry-distinct sites (fractional):
Hf 0.0000 0.5000 0.0000 (multiplicity 2)
Mn 0.0000 0.0000 0.5000 (multiplicity 1)
V 0.5000 0.5000 0.0000 (multiplicity 1)
Zn 0.5000 0.5000 0.5000 (multiplicity 1)

Values from the calculation:
Total DFT energy (no corrections) in eV per atom: -7.0028
DFT formation energy in meV per atom: 891

---

Compound: HfZrMnV2
Source: Alexandria via LeMat-Bulk
Functional: PBE
Structure: relaxed

Cell: 4.3891 4.3891 4.7569 Å, 90.00 90.00 90.00°
Space group P4/mmm (No. 123)
Symmetry-distinct sites (fractional):
Hf 0.0000 0.0000 0.0000 (multiplicity 1)
Zr 0.5000 0.5000 0.0000 (multiplicity 1)
Mn 0.0000 0.0000 0.5000 (multiplicity 1)
V 0.0000 0.5000 0.5000 (multiplicity 2)

Values from the calculation:
Total DFT energy (no corrections) in eV per atom: -8.6881
DFT formation energy in meV per atom: 494

---

Compound: HfMnW2
Source: Alexandria via LeMat-Bulk
Functional: PBE
Structure: relaxed

Cell: 3.7349 3.7349 20.2857 Å, 90.00 90.00 90.00°
Space group I-42d (No. 122)
Symmetry-distinct sites (fractional):
Hf 0.0000 0.0000 0.0000 (multiplicity 4)
Mn 0.0000 0.0000 0.5000 (multiplicity 4)
W 0.2487 0.2500 0.6250 (multiplicity 8)

Values from the calculation:
Total DFT energy (no corrections) in eV per atom: -10.5326
E above lowest polymorph in meV per atom: 490
DFT formation energy in meV per atom: 725

---

Compound: HfMn2W
Source: Alexandria via LeMat-Bulk
Functional: PBE
Structure: relaxed

Cell: 6.8961 6.8961 5.4804 Å, 90.00 90.00 90.00°
Space group I-42d (No. 122)
Symmetry-distinct sites (fractional):
Hf 0.0000 0.0000 0.0000 (multiplicity 4)
Mn 0.2224 0.7500 0.6250 (multiplicity 8)
W 0.0000 0.0000 0.5000 (multiplicity 4)

Values from the calculation:
Total DFT energy (no corrections) in eV per atom: -9.7218
DFT formation energy in meV per atom: 590

---

Compound: HfMn9W2
Source: Alexandria via LeMat-Bulk
Functional: PBE
Structure: relaxed

Cell: 4.7302 4.7302 23.4248 Å, 90.00 90.00 120.00°
Space group R-3m (No. 166, hexagonal axes)
Symmetry-distinct sites (fractional):
Hf 0.0000 0.0000 0.0000 (multiplicity 3)
Mn 0.0000 0.0000 0.3389 (multiplicity 6)
Mn 0.0000 0.0000 0.5000 (multiplicity 3)
Mn 0.0118 0.5059 0.9147 (multiplicity 18)
W 0.0000 0.0000 0.1409 (multiplicity 6)

Values from the calculation:
Total DFT energy (no corrections) in eV per atom: -9.9242
DFT formation energy in meV per atom: -59

---

Please write out number 5 again, unchanged.
Compound: HfZrMnV2
Source: Alexandria via LeMat-Bulk
Functional: PBE
Structure: relaxed

Cell: 4.3891 4.3891 4.7569 Å, 90.00 90.00 90.00°
Space group P4/mmm (No. 123)
Symmetry-distinct sites (fractional):
Hf 0.0000 0.0000 0.0000 (multiplicity 1)
Zr 0.5000 0.5000 0.0000 (multiplicity 1)
Mn 0.0000 0.0000 0.5000 (multiplicity 1)
V 0.0000 0.5000 0.5000 (multiplicity 2)

Values from the calculation:
Total DFT energy (no corrections) in eV per atom: -8.6881
DFT formation energy in meV per atom: 494